Computed, not measured: BeNi4Se after structural relaxation at the PBE level of DFT.

Cell and atoms, written as extended XYZ:
```
6
Lattice="0.000 3.327 3.327 3.327 0.000 3.327 3.327 3.327 0.000" Properties=species:S:1:pos:R:3 pbc="T T T"
Be 0.000 0.000 0.000
Ni 2.493 2.493 2.493
Ni 4.161 4.161 2.493
Ni 4.161 2.493 4.161
Ni 2.493 4.161 4.161
Se 4.990 4.990 4.990
```

Summary:
Crystal system: cubic
Formation energy from raw total energies (kJ per mole of atoms): 28.82

---

Computed, not measured: Rb3Hg5Au2 after structural relaxation at the PBE level of DFT.

Cell and atoms, written as extended XYZ:
```
20
Lattice="-5.065 7.503 4.672 5.065 -7.503 4.672 5.065 7.503 -4.672" Properties=species:S:1:pos:R:3 pbc="T T T"
Rb 7.396 2.087 0.000
Rb 0.000 0.000 2.336
Rb 2.331 5.416 0.000
Rb 2.733 2.087 4.672
Rb 0.000 0.000 7.007
Rb -2.331 5.416 4.672
Hg 5.065 -3.668 2.336
Hg 3.656 1.611 0.000
Hg 5.065 0.000 2.336
Hg 3.656 -1.611 4.672
Hg 5.065 3.668 2.336
Hg 0.000 3.836 2.336
Hg 1.408 9.114 0.000
Hg 0.000 7.503 2.336
Hg 1.408 5.892 4.672
Hg 0.000 11.171 2.336
Au 0.866 2.338 0.000
Au 5.930 5.166 0.000
Au -0.866 2.338 4.672
Au 4.199 5.166 4.672
```

Summary:
Crystal system: orthorhombic
Energy of formation (kJ/mol of formula units): -199

---

Number 1: magnetization 0.00 μB per cell. Number 2: magnetization 0.00 μB per cell.